# 1
PrNdP2Pd2O2: relaxed, PBE-GGA.

CIF file:
```
data_PrNdP2Pd2O2
_chemical_formula_sum 'Pr1 Nd1 P2 Pd2 O2'
_cell_length_a 4.133
_cell_length_b 4.133
_cell_length_c 8.090
_cell_angle_alpha 90.00
_cell_angle_beta 90.00
_cell_angle_gamma 90.00
_symmetry_space_group_name_H-M 'P 1'
_symmetry_Int_Tables_number 1
loop_
_symmetry_equiv_pos_as_xyz
'x,y,z'
loop_
_atom_site_label
_atom_site_fract_x
_atom_site_fract_y
_atom_site_fract_z
Pr1 0.000 0.000 0.000
Nd1 0.500 0.500 0.285
P1 0.000 0.000 0.490
P2 0.500 0.500 0.795
Pd1 0.000 0.500 0.642
Pd2 0.500 0.000 0.642
O1 0.000 0.500 0.145
O2 0.500 0.000 0.145
```

Results
The value obtained for the energy is -0.254 hartree per atom. As for the space-group type: P4mm (99).


# 2
PmNdPO: relaxed, PBE-GGA.

CIF file:
```
data_PmNdPO
_chemical_formula_sum 'Pm2 Nd2 P2 O2'
_cell_length_a 4.310
_cell_length_b 7.868
_cell_length_c 5.698
_cell_angle_alpha 90.00
_cell_angle_beta 90.00
_cell_angle_gamma 90.00
_symmetry_space_group_name_H-M 'P 1'
_symmetry_Int_Tables_number 1
loop_
_symmetry_equiv_pos_as_xyz
'x,y,z'
loop_
_atom_site_label
_atom_site_fract_x
_atom_site_fract_y
_atom_site_fract_z
Pm1 0.000 0.202 0.000
Pm2 0.000 0.798 0.500
Nd1 0.500 0.370 0.532
Nd2 0.500 0.630 0.032
P1 0.000 0.154 0.500
P2 0.000 0.846 0.000
O1 0.500 0.329 0.965
O2 0.500 0.671 0.465
```

Results
The value obtained for the energy is -0.254 hartree per atom. As for the space-group type: Pmc2_1 (26).


# 3
PmNdPO: relaxed, PBE-GGA.

CIF file:
```
data_PmNdPO
_chemical_formula_sum 'Pm2 Nd2 P2 O2'
_cell_length_a 4.405
_cell_length_b 4.405
_cell_length_c 9.038
_cell_angle_alpha 90.00
_cell_angle_beta 90.00
_cell_angle_gamma 90.00
_symmetry_space_group_name_H-M 'P 1'
_symmetry_Int_Tables_number 1
loop_
_symmetry_equiv_pos_as_xyz
'x,y,z'
loop_
_atom_site_label
_atom_site_fract_x
_atom_site_fract_y
_atom_site_fract_z
Pm1 0.250 0.750 0.000
Pm2 0.750 0.250 0.000
Nd1 0.250 0.250 0.392
Nd2 0.750 0.750 0.608
P1 0.250 0.250 0.803
P2 0.750 0.750 0.197
O1 0.250 0.750 0.500
O2 0.750 0.250 0.500
```

Results
The value obtained for the energy is -0.250 hartree per atom. As for the space-group type: P4/nmm (129).